Entry 1:
Here is a relaxed NpAlZn17 crystal from Alexandria. Energies are from GGA-PBE.

Cell lengths 6.8226, 6.8226, 6.8226 Å; angles 81.50, 81.50, 81.50 degrees
Last column: nearest neighbours and their distance in Å.
Atoms (fractional coordinates):
Np  0.6597  0.6597  0.6597  19 Zn 3.15-3.44, 1 Al 3.29
Zn  0.0137  0.3063  0.6653  7 Zn 2.61-2.76
Zn  0.0137  0.6653  0.3063  7 Zn 2.61-2.76
Zn  0.9799  0.9799  0.4939  10 Zn 2.55-2.75
Zn  0.6592  0.1635  0.6592  9 Zn 2.55-2.76, 1 Al 2.76
Zn  0.8979  0.8979  0.8979  7 Zn 2.64-2.76
Zn  0.6653  0.0137  0.3063  7 Zn 2.61-2.76
Zn  0.0939  0.0939  0.0939  7 Zn 2.64-2.80
Zn  0.3063  0.0137  0.6653  7 Zn 2.61-2.76
Zn  0.8422  0.3425  0.3425  9 Zn 2.57-2.80, 1 Al 2.86
Zn  0.3425  0.3425  0.8422  9 Zn 2.57-2.80, 1 Al 2.86
Zn  0.6653  0.3063  0.0137  7 Zn 2.61-2.76
Zn  0.6592  0.6592  0.1635  9 Zn 2.55-2.76, 1 Al 2.76
Zn  0.3063  0.6653  0.0137  7 Zn 2.61-2.76
Zn  0.1635  0.6592  0.6592  9 Zn 2.55-2.76, 1 Al 2.76
Zn  0.9799  0.4939  0.9799  10 Zn 2.55-2.75
Zn  0.4939  0.9799  0.9799  10 Zn 2.55-2.75
Zn  0.3425  0.8422  0.3425  9 Zn 2.57-2.80, 1 Al 2.86
Al  0.4150  0.4150  0.4150  6 Zn 2.76-2.86

## Properties
Density: 7.42 g/cm³
V: 308 Å³ per cell
Energy of formation from the pure elements: 0.003 eV per atom
Space group: R3m
Density of states at the Fermi level: 0.76 states/eV per atom

Entry 2:
Here is a relaxed Pm2Pr4YEr2 crystal from Alexandria. Energies are from GGA-PBE.

Cell lengths 5.1614, 8.1650, 8.1126 Å; angles 107.62, 90.00, 108.43 degrees
Last column: nearest neighbours and their distance in Å.
Atoms (fractional coordinates):
Er  0.6675  0.3350  0.9996  5 Pr 3.60-3.64, 3 Pm 3.61-3.62, 2 Er 3.63, 2 Y 3.66
Er  0.3325  0.6650  0.0004  5 Pr 3.60-3.64, 3 Pm 3.61-3.62, 2 Er 3.63, 2 Y 3.66
Pr  0.5545  0.1091  0.3309  2 Y 3.62, 2 Er 3.62-3.64, 4 Pm 3.65-3.67, 4 Pr 3.65-3.67
Pr  0.2225  0.4449  0.3300  3 Er 3.60-3.62, 1 Y 3.63, 3 Pm 3.64-3.68, 5 Pr 3.67
Pr  0.7775  0.5551  0.6700  3 Er 3.60-3.62, 1 Y 3.63, 3 Pm 3.64-3.68, 5 Pr 3.67
Pr  0.4455  0.8909  0.6691  2 Y 3.62, 2 Er 3.62-3.64, 4 Pm 3.65-3.67, 4 Pr 3.65-3.67
Pm  0.8882  0.7765  0.3302  3 Er 3.61-3.62, 1 Y 3.62, 7 Pr 3.64-3.68, 1 Pm 3.67
Pm  0.1118  0.2235  0.6698  3 Er 3.61-3.62, 1 Y 3.62, 7 Pr 3.64-3.68, 1 Pm 3.67
Y  0.0000  0.0000  0.0000  2 Pm 3.62, 6 Pr 3.62-3.63, 4 Er 3.66

## Properties
Density: 6.90 g/cm³
V: 307 Å³ per cell
Energy of formation from the pure elements: 0.022 eV per atom
Space group: C2/m
Density of states at the Fermi level: 1.64 states/eV per atom

Entry 3:
Here is a relaxed SrEuGaBi crystal from Alexandria. Energies are from GGA-PBE.

Cell lengths 5.6457, 5.6457, 5.6457 Å; angles 60.00, 60.00, 60.00 degrees
Last column: nearest neighbours and their distance in Å.
Atoms (fractional coordinates):
Eu  0.2500  0.2500  0.2500  4 Bi 3.46, 4 Ga 3.46
Ga  0.0000  0.0000  0.0000  4 Eu 3.46, 4 Sr 3.46
Sr  0.7500  0.7500  0.7500  4 Ga 3.46, 4 Bi 3.46
Bi  0.5000  0.5000  0.5000  4 Sr 3.46, 4 Eu 3.46

## Properties
Density: 6.76 g/cm³
V: 127 Å³ per cell
Energy of formation from the pure elements: -0.540 eV per atom
Space group: F-43m
Density of states at the Fermi level: 0.84 states/eV per atom

Entry 4:
Here is a relaxed InSe5 crystal from Alexandria. Energies are from GGA-PBE.

Cell lengths 6.5395, 6.5395, 3.8336 Å; angles 90.00, 90.00, 120.00 degrees
Last column: nearest neighbours and their distance in Å.
Atoms (fractional coordinates):
Se  0.3508  0.3508  0.0000  4 Se 2.86, 2 In 2.99
Se  0.0000  0.6492  0.0000  4 Se 2.86, 2 In 2.99
Se  0.3333  0.6667  0.5000  6 Se 2.86
Se  0.6667  0.3333  0.5000  6 Se 2.86
Se  0.6492  0.0000  0.0000  4 Se 2.86, 2 In 2.99
In  0.0000  0.0000  0.5000  6 Se 2.99

## Properties
Density: 5.96 g/cm³
V: 142 Å³ per cell
Space group: P-62m
Distance to the lowest polymorph of the same formula: 239 meV/atom
Density of states at the Fermi level: 0.70 states/eV per atom

Entry 5:
Here is a relaxed CaAcMgRu crystal from Alexandria. Energies are from GGA-PBE.

Cell lengths 5.2908, 5.2908, 5.2908 Å; angles 60.00, 60.00, 60.00 degrees
Last column: nearest neighbours and their distance in Å.
Atoms (fractional coordinates):
Ac  0.2500  0.2500  0.2500  4 Ru 3.24, 4 Mg 3.24
Ca  0.7500  0.7500  0.7500  4 Ru 3.24, 4 Mg 3.24
Mg  0.0000  0.0000  0.0000  4 Ca 3.24, 4 Ac 3.24
Ru  0.5000  0.5000  0.5000  4 Ac 3.24, 4 Ca 3.24

## Properties
Density: 6.22 g/cm³
V: 105 Å³ per cell
Energy of formation from the pure elements: 0.123 eV per atom
Space group: F-43m
Density of states at the Fermi level: 0.93 states/eV per atom

Entry 6:
Here is a relaxed CaMn2Rh crystal from Alexandria. Energies are from GGA-PBE.

Cell lengths 3.2009, 3.2009, 7.4740 Å; angles 90.00, 90.00, 90.00 degrees
Last column: nearest neighbours and their distance in Å.
Atoms (fractional coordinates):
Mn  0.0000  0.0000  0.4387  4 Rh 2.67, 1 Mn 2.82
Mn  0.0000  0.0000  0.0613  4 Rh 2.67, 1 Mn 2.82
Rh  0.5000  0.5000  0.2500  8 Mn 2.67
Ca  0.5000  0.5000  0.7500  4 Ca 3.20, 8 Mn 3.25

## Properties
Density: 5.48 g/cm³
V: 77 Å³ per cell
Energy of formation from the pure elements: 0.209 eV per atom
Space group: P4/mmm
Density of states at the Fermi level: 0.81 states/eV per atom

Entry 7:
Here is a relaxed SrZr2Ni crystal from Alexandria. Energies are from GGA-PBE.

Cell lengths 6.0053, 6.0053, 6.3956 Å; angles 55.93, 55.93, 31.44 degrees
Last column: nearest neighbours and their distance in Å.
Atoms (fractional coordinates):
Sr  0.1902  0.1902  0.2510  3 Ni 3.00-3.06, 2 Sr 3.25
Ni  0.4579  0.4579  0.7140  4 Zr 2.63-2.69
Zr  0.0352  0.0352  0.9349  2 Ni 2.63
Zr  0.8166  0.8166  0.6001  2 Ni 2.69

## Properties
Density: 5.58 g/cm³
V: 98 Å³ per cell
Energy of formation from the pure elements: 0.212 eV per atom
Space group: Cm
Distance to the lowest polymorph of the same formula: 193 meV/atom
Density of states at the Fermi level: 1.13 states/eV per atom

Entry 8:
Here is a relaxed K2InHg5 crystal from Alexandria. Energies are from GGA-PBE.

Cell lengths 6.9731, 6.9834, 6.9785 Å; angles 95.48, 116.97, 116.92 degrees
Last column: nearest neighbours and their distance in Å.
Atoms (fractional coordinates):
K  0.5010  0.3147  0.8136  10 Hg 3.50-3.66, 2 In 3.66-3.67
K  0.4985  0.7406  0.2419  10 Hg 3.50-3.67, 2 In 3.66
In  0.0010  0.7788  0.7779  4 Hg 3.15-3.16
Hg  0.9395  0.1994  0.7832  1 In 3.15, 3 Hg 3.24-3.27, 2 K 3.50-3.52
Hg  0.4179  0.7734  0.7130  1 In 3.15, 3 Hg 3.25-3.27, 2 K 3.50-3.52
Hg  0.5829  0.2946  0.3550  1 In 3.16, 3 Hg 3.23-3.27, 2 K 3.50-3.52
Hg  0.0603  0.8447  0.2607  1 In 3.16, 3 Hg 3.23-3.27, 2 K 3.50-3.51
Hg  0.9988  0.2768  0.2778  4 Hg 3.23-3.25

## Properties
Density: 7.95 g/cm³
V: 250 Å³ per cell
Energy of formation from the pure elements: -0.162 eV per atom
Space group: P1
Density of states at the Fermi level: 0.51 states/eV per atom